[1]
A relaxed K4NaO crystal, computed with PBE.

The structure in extended XYZ format:
```
12
Lattice="5.5539 0.0000 -0.0113 0.0000 8.5719 0.0000 -2.7991 0.0000 10.8720" Properties=species:S:1:pos:R:3 pbc="T T T"
K 2.7582 2.4035 9.2196
Na 2.7611 6.6946 8.1551
K -0.0034 6.6894 1.6411
O -0.0181 2.4039 8.9997
K 2.7770 4.5450 -0.0045
Na -0.0063 2.4087 2.7056
K -0.0144 4.1633 7.1315
K 2.7692 8.4492 3.7292
O 2.7729 6.6898 1.8610
K -0.0144 0.6485 7.1278
K -0.0221 0.2591 10.8652
K 2.7692 4.9344 3.7329
```

Properties
Its total magnetization is 0.0 μB per formula unit. The value obtained for the calculated volume is 258.7 Å³/f.u. For the energy relative to the elements, uncorrected, the calculation gives -0.485 eV per atom.

=====

[2]
A relaxed Tm8GeIr2 crystal, computed with PBE.

The structure in extended XYZ format:
```
11
Lattice="5.6462 0.1221 -0.9055 -1.7984 6.7657 -2.8159 0.0112 -0.0690 7.5454" Properties=species:S:1:pos:R:3 pbc="T T T"
Tm 5.1759 1.6219 4.2643
Tm 3.3701 4.3625 2.2891
Tm 4.1992 5.3110 -1.3284
Tm 0.9530 4.4691 4.8048
Ir 1.5501 4.7129 -0.0032
Ge 0.7323 0.0582 -0.0895
Ir 2.2273 2.1554 3.8741
Tm 0.3821 2.5678 1.6271
Tm 3.1451 0.5552 1.7992
Tm 0.4708 6.2903 2.0439
Tm 2.6727 2.3395 -0.9058
```

Properties
For the final energy, the calculation gives -5.78 eV/atom. Its total magnetization is 0.0 μB per formula unit. The value obtained for the calculated volume is 288.8 Å³/f.u.

=====

[3]
A relaxed Nd3Rh2 crystal, computed with PBE.

The structure in extended XYZ format:
```
20
Lattice="-1.7457 2.8689 2.3287 4.4096 -4.8388 9.2667 9.2435 6.4578 -1.0265" Properties=species:S:1:pos:R:3 pbc="T T T"
Rh 1.8153 -1.1065 8.1027
Nd 7.4295 1.2250 5.8532
Nd 7.2456 -1.3337 8.8675
Nd 4.4779 3.2629 4.7157
Rh 7.2160 4.1762 5.6433
Nd 2.4413 1.2353 2.1011
Nd 3.8679 -3.1672 8.5942
Nd 4.3015 0.6194 7.8402
Rh 4.9152 2.9747 1.8128
Nd 8.0395 7.6551 1.9747
Nd 1.6863 0.7863 5.6741
Rh 4.6914 0.3118 4.9257
Nd 7.6059 3.8685 2.7288
Rh 6.9922 1.5132 8.7561
Nd 4.6618 5.8216 1.7014
Nd 10.2212 3.7016 4.8948
Rh 0.4208 3.3322 1.5891
Rh 11.4866 1.1558 8.9798
Rh 10.0921 5.5945 2.4662
Nd 9.4661 3.2526 8.4678
```

Properties
Its total magnetization is 0.0 μB per formula unit. The value obtained for the calculated volume is 131.2 Å³/f.u. Its distance to the lowest polymorph of the same formula is 0.20 eV/f.u.

=====

[4]
A relaxed ReNiMo2 crystal, computed with PBE.

The structure in extended XYZ format:
```
4
Lattice="4.6676 0.0063 0.0000 1.3536 4.4670 0.0000 -3.0106 -2.2366 2.7785" Properties=species:S:1:pos:R:3 pbc="T T T"
Re 2.3338 0.0031 1.3893
Mo 0.0001 0.0000 0.0000
Mo 3.0106 2.2366 0.0000
Ni 0.6768 2.2335 1.3892
```

Properties
Its total magnetization is 0.0 μB per formula unit. The value obtained for the calculated volume is 57.9 Å³/f.u. Its distance to the lowest polymorph of the same formula is 0.11 eV/f.u.